<one>
{
  "formula": "Be3NbV",
  "functional": "PBE",
  "state": "optimized geometry",
  "lattice": [[4.2320, 0.0000, 0.0000], [0.0000, 4.2320, 0.0000], [0.0000, 0.0000, 4.2320]],
  "species": ["Be", "Be", "Be", "Nb", "V"],
  "fractional_positions": [[0.0000, 0.0000, 0.5000], [0.0000, 0.5000, 0.0000], [0.5000, 0.0000, 0.0000], [0.0000, 0.0000, 0.0000], [0.5000, 0.5000, 0.5000]],
  "dos_at_fermi_per_ev_cell": 1.72,
  "volume_a3_per_cell": 75.8,
  "m_tot_mub_per_fu": 0.00
}


<two>
{
  "formula": "Be3NbV",
  "functional": "PBE",
  "state": "optimized geometry",
  "lattice": [[4.0094, 0.0000, 0.0000], [0.0000, 4.0094, 0.0000], [0.0000, 0.0000, 4.0094]],
  "species": ["Be", "Be", "Be", "Nb", "V"],
  "fractional_positions": [[0.0000, 0.0000, 0.5000], [0.0000, 0.5000, 0.0000], [0.5000, 0.0000, 0.0000], [0.5000, 0.5000, 0.5000], [0.0000, 0.0000, 0.0000]],
  "dos_at_fermi_per_ev_cell": 4.74,
  "volume_a3_per_cell": 64.5,
  "m_tot_mub_per_fu": 0.00
}


Out of the structures above, which one is the least stable? Solution: <one>.